(1)
Below is a relaxed Nd6P3S2Br crystal, with properties calculated at the GGA-PBE level.

Cell: 9.334 9.334 8.386 Å, 103.67 103.67 25.58°
Fractional positions:
Nd1 0.001 0.001 0.224
Nd2 0.323 0.323 0.417
Nd3 0.335 0.335 0.912
Nd4 0.665 0.665 0.088
Nd5 0.677 0.677 0.583
Nd6 0.999 0.999 0.776
P1 0.164 0.164 0.333
P2 0.500 0.500 0.000
P3 0.836 0.836 0.667
S1 0.166 0.166 0.831
S2 0.834 0.834 0.169
Br1 0.500 0.500 0.500

Values from the calculation:
* symmetry: No. 12
* ΔE_f (raw): -1.723 eV per atom
* M_tot: 0.0 μB per formula unit

=====

(2)
Below is a relaxed YNbV3 crystal, with properties calculated at the GGA-PBE level.

Cell: 4.689 4.689 4.689 Å, 90.00 90.00 90.00°
Fractional positions:
Y1 0.000 0.000 0.000
Nb1 0.500 0.500 0.500
V1 0.000 0.500 0.500
V2 0.500 0.000 0.500
V3 0.500 0.500 0.000

Values from the calculation:
* symmetry: No. 221
* energy of formation from the pure elements: 4.7 eV per formula unit
* M_tot: 0.0 μB per formula unit

=====

(3)
Below is a relaxed BaIrSeN2 crystal, with properties calculated at the GGA-PBE level.

Cell: 4.276 4.276 6.680 Å, 90.00 90.00 90.00°
Fractional positions:
Ba1 0.000 0.000 0.000
Ir1 0.500 0.500 0.500
Se1 0.000 0.000 0.500
N1 0.000 0.500 0.000
N2 0.500 0.000 0.000

Values from the calculation:
* symmetry: No. 123
* ΔE_f (raw): 2.406 eV per atom
* M_tot: 3.4 μB per formula unit

=====

(4)
Below is a relaxed GdTmPu4 crystal, with properties calculated at the GGA-PBE level.

Cell: 6.182 6.182 6.182 Å, 60.00 60.00 60.00°
Fractional positions:
Gd1 0.000 0.000 0.000
Tm1 0.750 0.750 0.750
Pu1 0.375 0.375 0.375
Pu2 0.375 0.375 0.875
Pu3 0.375 0.875 0.375
Pu4 0.875 0.375 0.375

Values from the calculation:
* symmetry: No. 216
* energy of formation from the pure elements: 1.4 eV per formula unit
* M_tot: 30.2 μB per formula unit

=====

(5)
Below is a relaxed TiVPtCl2 crystal, with properties calculated at the GGA-PBE level.

Cell: 4.400 4.400 5.587 Å, 90.00 90.00 90.00°
Fractional positions:
Ti1 0.000 0.000 0.000
V1 0.000 0.000 0.500
Pt1 0.500 0.500 0.500
Cl1 0.000 0.500 0.000
Cl2 0.500 0.000 0.000

Values from the calculation:
* symmetry: No. 123
* ΔE_f (raw): 0.504 eV per atom
* M_tot: 0.0 μB per formula unit

=====

(6)
Below is a relaxed Pa2BeB3 crystal, with properties calculated at the GGA-PBE level.

Cell: 6.999 6.648 5.203 Å, 71.22 64.06 44.73°
Fractional positions:
Pa1 0.250 0.250 0.250
Pa2 0.250 0.750 0.250
Pa3 0.750 0.250 0.750
Pa4 0.750 0.750 0.750
Be1 0.167 0.167 0.833
Be2 0.833 0.833 0.167
B1 0.184 0.658 0.816
B2 0.342 0.342 0.658
B3 0.342 0.816 0.658
B4 0.658 0.184 0.342
B5 0.658 0.658 0.342
B6 0.816 0.342 0.184

Values from the calculation:
* symmetry: No. 69
* energy of formation from the pure elements: -2.8 eV per formula unit
* M_tot: 0.0 μB per formula unit

=====

(7)
Below is a relaxed K3Pu3ScS8 crystal, with properties calculated at the GGA-PBE level.

Cell: 8.751 8.751 8.751 Å, 54.44 54.44 54.44°
Fractional positions:
K1 0.000 0.500 0.500
K2 0.500 0.000 0.500
K3 0.500 0.500 0.000
Pu1 0.000 0.000 0.500
Pu2 0.000 0.500 0.000
Pu3 0.500 0.000 0.000
Sc1 0.500 0.500 0.500
S1 0.233 0.233 0.233
S2 0.241 0.724 0.724
S3 0.276 0.276 0.759
S4 0.276 0.759 0.276
S5 0.724 0.241 0.724
S6 0.724 0.724 0.241
S7 0.759 0.276 0.276
S8 0.767 0.767 0.767

Values from the calculation:
* symmetry: No. 166
* ΔE_f (raw): -1.619 eV per atom
* M_tot: 14.0 μB per formula unit

=====

(8)
Below is a relaxed CdP2 crystal, with properties calculated at the GGA-PBE level.

Cell: 5.552 5.552 7.285 Å, 101.79 101.79 34.38°
Fractional positions:
Cd1 0.128 0.128 0.155
Cd2 0.872 0.872 0.845
P1 0.106 0.106 0.566
P2 0.396 0.396 0.224
P3 0.604 0.604 0.776
P4 0.894 0.894 0.434

Values from the calculation:
* symmetry: No. 12
* energy of formation from the pure elements: 0.3 eV per formula unit
* M_tot: 0.0 μB per formula unit

=====

(9)
Below is a relaxed Cs2PaCdTe5 crystal, with properties calculated at the GGA-PBE level.

Cell: 11.788 11.788 15.943 Å, 90.00 90.00 158.14°
Fractional positions:
Cs1 0.124 0.876 0.500
Cs2 0.131 0.869 0.130
Cs3 0.869 0.131 0.630
Cs4 0.876 0.124 0.000
Pa1 0.200 0.800 0.823
Pa2 0.800 0.200 0.323
Cd1 0.430 0.570 0.244
Cd2 0.570 0.430 0.744
Te1 0.071 0.929 0.857
Te2 0.296 0.704 0.450
Te3 0.305 0.695 0.191
Te4 0.325 0.675 0.818
Te5 0.496 0.504 0.101
Te6 0.504 0.496 0.601
Te7 0.675 0.325 0.318
Te8 0.695 0.305 0.691
Te9 0.704 0.296 0.950
Te10 0.929 0.071 0.357

Values from the calculation:
* symmetry: No. 36
* ΔE_f (raw): -0.770 eV per atom
* M_tot: 0.0 μB per formula unit

=====

(10)
Below is a relaxed MgSnPd4 crystal, with properties calculated at the GGA-PBE level.

Cell: 4.627 4.627 5.566 Å, 104.45 104.45 106.71°
Fractional positions:
Mg1 0.000 0.000 0.000
Sn1 0.500 0.500 0.500
Pd1 0.060 0.451 0.754
Pd2 0.451 0.060 0.754
Pd3 0.549 0.940 0.246
Pd4 0.940 0.549 0.246

Values from the calculation:
* symmetry: No. 12
* energy of formation from the pure elements: -2.6 eV per formula unit
* M_tot: 0.0 μB per formula unit

=====

(11)
Below is a relaxed NaSm2Al crystal, with properties calculated at the GGA-PBE level.

Cell: 11.910 11.910 11.910 Å, 17.36 17.36 17.36°
Fractional positions:
Na1 0.000 0.000 0.000
Sm1 0.103 0.103 0.103
Sm2 0.897 0.897 0.897
Al1 0.500 0.500 0.500

Values from the calculation:
* symmetry: No. 166
* energy of formation from the pure elements: 0.3 eV per formula unit
* M_tot: 0.0 μB per formula unit

=====

(12)
Below is a relaxed HfTe3Ir crystal, with properties calculated at the GGA-PBE level.

Cell: 5.184 5.184 5.184 Å, 90.00 90.00 90.00°
Fractional positions:
Hf1 0.000 0.000 0.000
Te1 0.000 0.500 0.500
Te2 0.500 0.000 0.500
Te3 0.500 0.500 0.000
Ir1 0.500 0.500 0.500

Values from the calculation:
* symmetry: No. 221
* ΔE_f (raw): 0.587 eV per atom
* M_tot: 0.0 μB per formula unit

=====

(13)
Below is a relaxed Ti2SbC crystal, with properties calculated at the GGA-PBE level.

Cell: 4.452 4.452 4.452 Å, 60.00 60.00 60.00°
Fractional positions:
Ti1 0.250 0.250 0.250
Ti2 0.750 0.750 0.750
Sb1 0.000 0.000 0.000
C1 0.500 0.500 0.500

Values from the calculation:
* symmetry: No. 225
* ΔE_f (raw): 0.669 eV per atom
* M_tot: 0.0 μB per formula unit

=====

(14)
Below is a relaxed BePdSe crystal, with properties calculated at the GGA-PBE level.

Cell: 3.386 3.937 8.002 Å, 90.05 102.09 90.15°
Fractional positions:
Be1 0.063 0.251 0.127
Be2 0.937 0.749 0.873
Pd1 0.443 0.250 0.887
Pd2 0.557 0.750 0.113
Se1 0.342 0.749 0.682
Se2 0.658 0.251 0.318

Values from the calculation:
* symmetry: No. 2
* ΔE_f (raw): -0.401 eV per atom
* M_tot: 0.0 μB per formula unit

=====

(15)
Below is a relaxed Tm4MnS7 crystal, with properties calculated at the GGA-PBE level.

Cell: 6.484 6.484 11.349 Å, 104.27 104.27 33.66°
Fractional positions:
Tm1 0.000 0.000 0.000
Tm2 0.387 0.387 0.598
Tm3 0.580 0.580 0.364
Tm4 0.694 0.694 0.802
Mn1 0.808 0.808 0.218
S1 0.034 0.034 0.745
S2 0.198 0.198 0.294
S3 0.355 0.355 0.847
S4 0.427 0.427 0.149
S5 0.658 0.658 0.020
S6 0.731 0.731 0.582
S7 0.950 0.950 0.437

Values from the calculation:
* symmetry: No. 8
* ΔE_f (raw): -1.789 eV per atom
* M_tot: 5.0 μB per formula unit

=====

(16)
Below is a relaxed GaIrCl2 crystal, with properties calculated at the GGA-PBE level.

Cell: 8.121 8.121 8.121 Å, 141.35 141.35 55.81°
Fractional positions:
Ga1 0.000 0.000 0.000
Ga2 0.750 0.250 0.500
Ir1 0.250 0.750 0.500
Ir2 0.500 0.500 0.000
Cl1 0.224 0.625 0.099
Cl2 0.375 0.474 0.599
Cl3 0.526 0.125 0.901
Cl4 0.875 0.776 0.401

Values from the calculation:
* symmetry: No. 122
* ΔE_f (raw): 0.354 eV per atom
* M_tot: 0.0 μB per formula unit